Below is a relaxed Y6Zn5Rh crystal, with properties calculated at the PBE level.

Results
Uncorrected energy: -4.831 eV/atom
Calculated volume: 268.9 Å³/cell

a = 5.0269 Å, b = 7.1036 Å, c = 7.9345 Å
α = 90.00°, β = 108.39°, γ = 90.00°
Space group P2/m (No. 10)
Symmetry-distinct sites (fractional):
Y: 0.0000 0.2425 0.0000
Y: 0.3374 0.2466 0.6750
Zn: 0.1687 0.5000 0.3369
Zn: 0.1735 0.0000 0.3471
Zn: 0.5000 0.5000 0.0000
Rh: 0.5000 0.0000 0.0000

Below is a relaxed CsLa crystal, with properties calculated at the PBE level.

Results
Uncorrected energy: -2.508 eV/atom
Calculated volume: 982.0 Å³/cell

a = 15.4820 Å, b = 3.9623 Å, c = 16.0073 Å
α = 90.00°, β = 90.00°, γ = 90.00°
Space group Pnma (No. 62)
Symmetry-distinct sites (fractional):
Cs: 0.1245 0.2500 0.2127
Cs: 0.1550 0.7500 0.9235
La: 0.0861 0.7500 0.4631
La: 0.1075 0.2500 0.6435

Below is a relaxed BaAsIr2 crystal, with properties calculated at the PBE level.

Results
Uncorrected energy: -5.807 eV/atom
Calculated volume: 173.7 Å³/cell

a = 3.0820 Å, b = 5.6082 Å, c = 10.0518 Å
α = 90.00°, β = 90.00°, γ = 90.00°
Space group Imm2 (No. 44)
Symmetry-distinct sites (fractional):
Ba: 0.0000 0.0000 0.0000
As: 0.0000 0.5000 0.7874
Ir: 0.0000 0.0000 0.4777
Ir: 0.0000 0.5000 0.1959

Below is a relaxed Sm2Zn4AgAu3 crystal, with properties calculated at the PBE level.

Results
Uncorrected energy: -3.174 eV/atom
Calculated volume: 203.0 Å³/cell

a = 4.1548 Å, b = 4.1548 Å, c = 11.7572 Å
α = 90.00°, β = 90.00°, γ = 90.00°
Space group P-4m2 (No. 115)
Symmetry-distinct sites (fractional):
Sm: 0.0000 0.5000 0.2482
Zn: 0.0000 0.0000 0.0000
Zn: 0.0000 0.5000 0.6388
Zn: 0.5000 0.5000 0.0000
Ag: 0.0000 0.0000 0.5000
Au: 0.0000 0.5000 0.8562
Au: 0.5000 0.5000 0.5000

Below is a relaxed MgSiO3 crystal, with properties calculated at the PBE level.

Results
Calculated volume: 431.7 Å³/cell
Raw formation energy: -2.812 eV/atom

a = 9.4781 Å, b = 8.9369 Å, c = 5.2312 Å
α = 90.00°, β = 103.04°, γ = 90.00°
Space group P2_1/c (No. 14)
Symmetry-distinct sites (fractional):
Mg: 0.2448 0.0121 0.4605
Mg: 0.2488 0.6523 0.4675
Si: 0.0524 0.1628 0.8213
Si: 0.4569 0.1593 0.2530
O: 0.1039 0.1950 0.1481
O: 0.1249 0.6597 0.7505
O: 0.1348 0.0180 0.7459
O: 0.3665 0.6603 0.1820
O: 0.3762 0.0008 0.2000
O: 0.3948 0.2189 0.5120

Below is a relaxed LiMgVH6 crystal, with properties calculated at the PBE level.

Results
Uncorrected energy: -3.613 eV/atom
Calculated volume: 142.4 Å³/cell

a = 4.3286 Å, b = 4.3286 Å, c = 8.7775 Å
α = 90.00°, β = 90.00°, γ = 120.00°
Space group P6_3/mmc (No. 194)
Symmetry-distinct sites (fractional):
Li: 0.3333 0.6667 0.2500
Mg: 0.0000 0.0000 0.0000
V: 0.3333 0.6667 0.7500
H: 0.0151 0.5075 0.6129

Below is a relaxed OsCS2Cl crystal, with properties calculated at the PBE level.

Results
Calculated volume: 66.0 Å³/cell
Raw formation energy: 1.785 eV/atom

a = 4.0364 Å, b = 4.0364 Å, c = 4.0521 Å
α = 90.00°, β = 90.00°, γ = 90.00°
Space group P4/mmm (No. 123)
Symmetry-distinct sites (fractional):
Os: 0.0000 0.0000 0.0000
C: 0.5000 0.5000 0.5000
S: 0.0000 0.5000 0.5000
Cl: 0.5000 0.5000 0.0000

Below is a relaxed Er3SiH crystal, with properties calculated at the PBE level.

Results
Uncorrected energy: -4.881 eV/atom
Calculated volume: 408.8 Å³/cell

a = 6.3977 Å, b = 6.1697 Å, c = 10.4313 Å
α = 90.00°, β = 96.81°, γ = 90.00°
Space group P2_1/c (No. 14)
Symmetry-distinct sites (fractional):
Er: 0.0708 0.0680 0.1617
Er: 0.2179 0.5503 0.0860
Er: 0.3914 0.1607 0.8825
Si: 0.3663 0.6847 0.8428
H: 0.0801 0.2385 0.9720

Below is a relaxed In2FeOs crystal, with properties calculated at the PBE level.

Results
Uncorrected energy: -5.894 eV/atom
Calculated volume: 139.1 Å³/cell

a = 3.1540 Å, b = 4.5579 Å, c = 9.6762 Å
α = 90.00°, β = 90.00°, γ = 90.00°
Space group Imm2 (No. 44)
Symmetry-distinct sites (fractional):
In: 0.0000 0.0000 0.0000
In: 0.0000 0.5000 0.2152
Fe: 0.0000 0.5000 0.7518
Os: 0.0000 0.0000 0.4550

Below is a relaxed Ac2Pm4Dy crystal, with properties calculated at the PBE level.

Results
Uncorrected energy: -4.465 eV/atom
Calculated volume: 522.1 Å³/cell

a = 3.6947 Å, b = 38.1248 Å, c = 3.7069 Å
α = 90.00°, β = 90.00°, γ = 90.00°
Space group Cmmm (No. 65)
Symmetry-distinct sites (fractional):
Ac: 0.0000 0.2048 0.0000
Pm: 0.0000 0.0652 0.0000
Pm: 0.0000 0.3683 0.5000
Dy: 0.0000 0.5000 0.5000